The following is a DFT calculation (GGA+U) of crystalline NiAgPtF6 at its relaxed geometry.

a = 5.4972 Å, b = 5.4972 Å, c = 10.1326 Å
α = 90.00°, β = 90.00°, γ = 120.00°
Last column: nearest neighbours and their distance in Å.
Space group P-31c (No. 163)
Symmetry-distinct sites (fractional):
Ni1 0.3333 0.6667 0.2500 x2  6 F 2.04
Ag1 0.0000 0.0000 0.0000 x2  6 F 2.44
Pt1 0.3333 0.6667 0.7500 x2  6 F 2.11
F1 0.0085 0.3609 0.1435 x12  1 Ni 2.04, 1 Pt 2.11

**E_tot**: -3.9351 eV/atom
**D(E_F)**: 10.5 states/eV per cell